1.
Density functional theory data (GGA-PBEsol) for a relaxed structure of TaCo2Ag.

ΔH_f (0 K) = 21.6 kJ/mol of atoms

Cell: 2.8417 3.9463 5.0303 Å, 90.00 106.41 90.00°
Atoms (fractional coordinates):
Co 0.8203 0.0000 0.6407
Co 0.6862 0.5000 0.3724
Ag 0.4184 0.5000 0.8367
Ta 0.0943 0.0000 0.1887


2.
Density functional theory data (GGA-PBEsol) for a relaxed structure of ReRu.

ΔH_f (0 K) = 56.5 kJ/mol of atoms

Cell: 3.0543 3.0543 3.0543 Å, 90.00 90.00 90.00°
Atoms (fractional coordinates):
Re 0.0000 0.0000 0.0000
Ru 0.5000 0.5000 0.5000


3.
Density functional theory data (GGA-PBEsol) for a relaxed structure of NiPRu.

ΔH_f (0 K) = -55.3 kJ/mol of atoms

Cell: 3.7661 3.7661 3.7661 Å, 60.00 60.00 60.00°
Atoms (fractional coordinates):
Ru 0.0000 0.0000 0.0000
Ni 0.5000 0.5000 0.5000
P 0.7500 0.7500 0.7500